Entry 1:
BaHo2S4 PBE optimized geometry; M_tot = 0.0 μB per cell; relative energy among the computed polymorphs = 26.8 meV per atom; energy relative to the elements, uncorrected = -2.117 eV/atom; crystal system = orthorhombic
1.0
2.018 -6.585 0.000
2.018 6.585 0.000
0.000 0.000 13.651
Ba Ho S
2 4 8
direct
0.110 0.890 0.750 Ba
0.890 0.110 0.250 Ba
0.365 0.635 0.567 Ho
0.365 0.635 0.933 Ho
0.635 0.365 0.067 Ho
0.635 0.365 0.433 Ho
0.000 0.000 0.000 S
0.000 0.000 0.500 S
0.266 0.734 0.109 S
0.266 0.734 0.391 S
0.434 0.566 0.750 S
0.566 0.434 0.250 S
0.734 0.266 0.609 S
0.734 0.266 0.891 S


Entry 2:
Ba2Ho3S6 PBE optimized geometry; M_tot = 0.0 μB per cell; energy relative to the elements, uncorrected = -2.078 eV/atom; crystal system = monoclinic
1.0
3.481 -6.025 0.000
3.481 6.025 0.000
-2.312 0.000 7.281
Ba Ho S
2 3 6
direct
0.167 0.833 0.000 Ba
0.833 0.167 0.000 Ba
0.000 0.000 0.500 Ho
0.335 0.665 0.500 Ho
0.665 0.335 0.500 Ho
0.067 0.402 0.706 S
0.263 0.263 0.292 S
0.402 0.067 0.706 S
0.598 0.933 0.294 S
0.737 0.737 0.708 S
0.933 0.598 0.294 S


Entry 3:
Ba2HoSb2S6 PBE optimized geometry; M_tot = 0.0 μB per cell; energy relative to the elements, uncorrected = -1.177 eV/atom; crystal system = monoclinic
1.0
6.974 -3.655 0.000
6.974 3.655 0.000
-4.141 0.000 6.647
Ba Ho Sb S
2 1 2 6
direct
0.234 0.234 0.208 Ba
0.766 0.766 0.792 Ba
0.000 0.000 0.500 Ho
0.457 0.457 0.786 Sb
0.543 0.543 0.214 Sb
0.165 0.670 0.189 S
0.213 0.213 0.589 S
0.330 0.835 0.811 S
0.670 0.165 0.189 S
0.787 0.787 0.411 S
0.835 0.330 0.811 S


Entry 4:
BaHoSc4S8 PBE optimized geometry; M_tot = 0.0 μB per cell; energy relative to the elements, uncorrected = -1.827 eV/atom; crystal system = trigonal
1.0
3.931 2.269 6.605
-3.931 2.269 6.605
0.000 -4.539 6.605
Ba Ho Sc S
1 1 4 8
direct
0.000 0.000 0.000 Ba
0.632 0.632 0.632 Ho
0.126 0.632 0.632 Sc
0.257 0.257 0.257 Sc
0.632 0.126 0.632 Sc
0.632 0.632 0.126 Sc
0.384 0.384 0.864 S
0.384 0.864 0.384 S
0.387 0.387 0.387 S
0.439 0.868 0.868 S
0.857 0.857 0.857 S
0.864 0.384 0.384 S
0.868 0.439 0.868 S
0.868 0.868 0.439 S


Entry 5:
Ba2HoScS5 PBE optimized geometry; M_tot = 0.0 μB per cell; energy relative to the elements, uncorrected = -2.047 eV/atom; crystal system = orthorhombic
1.0
2.106 -8.524 0.000
2.106 8.524 0.000
0.000 0.000 13.401
Ba Ho Sc S
4 2 2 10
direct
0.106 0.894 0.500 Ba
0.144 0.856 0.119 Ba
0.856 0.144 0.619 Ba
0.894 0.106 0.000 Ba
0.212 0.788 0.831 Ho
0.788 0.212 0.331 Ho
0.472 0.528 0.267 Sc
0.528 0.472 0.767 Sc
0.052 0.948 0.861 S
0.283 0.717 0.464 S
0.323 0.677 0.201 S
0.372 0.628 0.812 S
0.490 0.510 0.593 S
0.510 0.490 0.093 S
0.628 0.372 0.312 S
0.677 0.323 0.701 S
0.717 0.283 0.964 S
0.948 0.052 0.361 S


Entry 6:
BaHo4ScS8 PBE optimized geometry; M_tot = 0.0 μB per cell; energy relative to the elements, uncorrected = -1.928 eV/atom; crystal system = trigonal
1.0
4.105 2.370 6.530
-4.105 2.370 6.530
0.000 -4.740 6.530
Ba Ho Sc S
1 4 1 8
direct
0.000 0.000 0.000 Ba
0.113 0.622 0.622 Ho
0.243 0.243 0.243 Ho
0.622 0.113 0.622 Ho
0.622 0.622 0.113 Ho
0.622 0.622 0.622 Sc
0.376 0.376 0.376 S
0.380 0.380 0.845 S
0.380 0.845 0.380 S
0.428 0.843 0.843 S
0.843 0.428 0.843 S
0.843 0.843 0.428 S
0.845 0.380 0.380 S
0.853 0.853 0.853 S


Entry 7:
Ba3Sm3HoS8 PBE optimized geometry; M_tot = 0.0 μB per cell; energy relative to the elements, uncorrected = -2.063 eV/atom; crystal system = trigonal
1.0
4.116 2.376 7.282
-4.116 2.376 7.282
0.000 -4.752 7.282
Ba Sm Ho S
3 3 1 8
direct
0.000 0.500 0.500 Ba
0.500 0.000 0.500 Ba
0.500 0.500 0.000 Ba
0.000 0.000 0.500 Sm
0.000 0.500 0.000 Sm
0.500 0.000 0.000 Sm
0.500 0.500 0.500 Ho
0.239 0.239 0.239 S
0.244 0.732 0.732 S
0.268 0.268 0.756 S
0.268 0.756 0.268 S
0.732 0.244 0.732 S
0.732 0.732 0.244 S
0.756 0.268 0.268 S
0.761 0.761 0.761 S


Entry 8:
Ba2SmHoS4 PBE optimized geometry; M_tot = 0.0 μB per cell; energy relative to the elements, uncorrected = -2.008 eV/atom; crystal system = monoclinic
1.0
7.178 0.000 0.000
0.000 4.152 0.000
-2.400 0.000 7.138
Ba Sm Ho S
2 1 1 4
direct
0.000 0.000 0.000 Ba
0.500 0.500 0.000 Ba
0.000 0.500 0.500 Sm
0.500 0.000 0.500 Ho
0.244 0.000 0.713 S
0.269 0.500 0.290 S
0.731 0.500 0.710 S
0.756 0.000 0.287 S


Entry 9:
Ba2SrHoS4 PBE optimized geometry; M_tot = 0.0 μB per cell; energy relative to the elements, uncorrected = -2.031 eV/atom; crystal system = monoclinic
1.0
7.399 0.000 0.000
0.000 4.247 0.000
-2.433 0.000 7.143
Ba Sr Ho S
2 1 1 4
direct
0.000 0.000 0.000 Ba
0.500 0.500 0.000 Ba
0.000 0.500 0.500 Sr
0.500 0.000 0.500 Ho
0.257 0.000 0.720 S
0.276 0.500 0.286 S
0.724 0.500 0.714 S
0.743 0.000 0.280 S


Entry 10:
BaTbHo4S8 PBE optimized geometry; M_tot = 0.0 μB per cell; energy relative to the elements, uncorrected = -1.963 eV/atom; crystal system = trigonal
1.0
4.103 2.369 6.731
-4.103 2.369 6.731
0.000 -4.738 6.731
Ba Tb Ho S
1 1 4 8
direct
0.000 0.000 0.000 Ba
0.628 0.628 0.628 Tb
0.120 0.627 0.627 Ho
0.251 0.251 0.251 Ho
0.627 0.120 0.627 Ho
0.627 0.627 0.120 Ho
0.381 0.381 0.855 S
0.381 0.855 0.381 S
0.383 0.383 0.383 S
0.430 0.859 0.859 S
0.855 0.381 0.381 S
0.857 0.857 0.857 S
0.859 0.430 0.859 S
0.859 0.859 0.430 S


Entry 11:
BaHoTe2S6 PBE optimized geometry; M_tot = 0.0 μB per cell; energy relative to the elements, uncorrected = -0.842 eV/atom; crystal system = triclinic
1.0
6.726 0.000 0.000
-3.167 6.278 0.000
-0.192 -3.875 6.774
Ba Ho Te S
1 1 2 6
direct
0.000 0.000 0.000 Ba
0.507 0.041 0.556 Ho
0.220 0.432 0.642 Te
0.696 0.441 0.187 Te
0.097 0.959 0.392 S
0.402 0.918 0.843 S
0.431 0.559 0.338 S
0.552 0.475 0.821 S
0.784 0.252 0.352 S
0.942 0.315 0.825 S


Entry 12:
BaHoTm4S8 PBE optimized geometry; M_tot = 0.0 μB per cell; energy relative to the elements, uncorrected = -1.949 eV/atom; crystal system = trigonal
1.0
4.071 2.350 6.679
-4.071 2.350 6.679
0.000 -4.701 6.679
Ba Ho Tm S
1 1 4 8
direct
0.000 0.000 0.000 Ba
0.628 0.628 0.628 Ho
0.120 0.628 0.628 Tm
0.251 0.251 0.251 Tm
0.628 0.120 0.628 Tm
0.628 0.628 0.120 Tm
0.382 0.382 0.855 S
0.382 0.855 0.382 S
0.383 0.383 0.383 S
0.431 0.859 0.859 S
0.855 0.382 0.382 S
0.857 0.857 0.857 S
0.859 0.431 0.859 S
0.859 0.859 0.431 S


Entry 13:
Ba2HoUS6 PBE optimized geometry; M_tot = 2.0 μB per cell; energy relative to the elements, uncorrected = -1.886 eV/atom; crystal system = monoclinic
1.0
7.215 0.000 0.000
0.000 7.444 0.000
-7.213 0.000 10.336
Ba Ho U S
4 2 2 12
direct
0.235 0.058 0.251 Ba
0.235 0.442 0.751 Ba
0.765 0.558 0.249 Ba
0.765 0.942 0.749 Ba
0.500 0.000 0.000 Ho
0.500 0.500 0.500 Ho
0.000 0.000 0.500 U
0.000 0.500 0.000 U
0.157 0.211 0.957 S
0.157 0.289 0.457 S
0.248 0.702 0.958 S
0.248 0.798 0.458 S
0.326 0.017 0.746 S
0.326 0.483 0.246 S
0.674 0.517 0.754 S
0.674 0.983 0.254 S
0.752 0.202 0.542 S
0.752 0.298 0.042 S
0.843 0.711 0.543 S
0.843 0.789 0.043 S


Entry 14:
BaYHo4S8 PBE optimized geometry; M_tot = 0.0 μB per cell; energy relative to the elements, uncorrected = -1.964 eV/atom; crystal system = trigonal
1.0
4.103 2.369 6.724
-4.103 2.369 6.724
0.000 -4.737 6.724
Ba Y Ho S
1 1 4 8
direct
0.000 0.000 0.000 Ba
0.628 0.628 0.628 Y
0.120 0.627 0.627 Ho
0.251 0.251 0.251 Ho
0.627 0.120 0.627 Ho
0.627 0.627 0.120 Ho
0.382 0.382 0.855 S
0.382 0.855 0.382 S
0.383 0.383 0.383 S
0.430 0.859 0.859 S
0.855 0.382 0.382 S
0.857 0.857 0.857 S
0.859 0.430 0.859 S
0.859 0.859 0.430 S


Entry 15:
BaHo2ZnS5 PBE optimized geometry; M_tot = 0.0 μB per cell; energy relative to the elements, uncorrected = -1.758 eV/atom; crystal system = tetragonal
1.0
-3.847 3.847 6.788
3.847 -3.847 6.788
3.847 3.847 -6.788
Ba Ho Zn S
2 4 2 10
direct
0.250 0.250 0.000 Ba
0.750 0.750 0.000 Ba
0.161 0.661 0.823 Ho
0.339 0.161 0.500 Ho
0.661 0.839 0.500 Ho
0.839 0.339 0.177 Ho
0.250 0.750 0.500 Zn
0.750 0.250 0.500 Zn
0.000 0.000 0.000 S
0.019 0.223 0.500 S
0.223 0.723 0.203 S
0.277 0.481 0.500 S
0.481 0.981 0.203 S
0.500 0.500 0.000 S
0.519 0.019 0.797 S
0.723 0.519 0.500 S
0.777 0.277 0.797 S
0.981 0.777 0.500 S


Entry 16:
Ba2HoZnS5 PBE optimized geometry; M_tot = 0.0 μB per cell; energy relative to the elements, uncorrected = -1.607 eV/atom; crystal system = orthorhombic
1.0
2.055 -9.040 0.000
2.055 9.040 0.000
0.000 0.000 12.836
Ba Ho Zn S
4 2 2 10
direct
0.118 0.882 0.500 Ba
0.128 0.872 0.135 Ba
0.872 0.128 0.635 Ba
0.882 0.118 0.000 Ba
0.201 0.799 0.830 Ho
0.799 0.201 0.330 Ho
0.443 0.557 0.245 Zn
0.557 0.443 0.745 Zn
0.046 0.954 0.839 S
0.299 0.701 0.470 S
0.313 0.687 0.185 S
0.347 0.653 0.821 S
0.498 0.502 0.587 S
0.502 0.498 0.087 S
0.653 0.347 0.321 S
0.687 0.313 0.685 S
0.701 0.299 0.970 S
0.954 0.046 0.339 S


Entry 17:
Ba5HoSb4 PBE optimized geometry; M_tot = 1.0 μB per cell; energy relative to the elements, uncorrected = -0.854 eV/atom; crystal system = monoclinic
1.0
11.204 -2.460 0.000
11.204 2.460 0.000
-3.689 0.000 8.319
Ba Ho Sb
5 1 4
direct
0.000 0.000 0.000 Ba
0.335 0.335 0.085 Ba
0.335 0.335 0.585 Ba
0.665 0.665 0.415 Ba
0.665 0.665 0.915 Ba
0.000 0.000 0.500 Ho
0.191 0.191 0.691 Sb
0.500 0.500 0.277 Sb
0.500 0.500 0.723 Sb
0.809 0.809 0.309 Sb


Entry 18:
Ba3Ho3ScSe8 PBE optimized geometry; M_tot = 0.0 μB per cell; energy relative to the elements, uncorrected = -1.882 eV/atom; crystal system = trigonal
1.0
4.171 2.408 7.530
-4.171 2.408 7.530
0.000 -4.816 7.530
Ba Ho Sc Se
3 3 1 8
direct
0.000 0.500 0.500 Ba
0.500 0.000 0.500 Ba
0.500 0.500 0.000 Ba
0.000 0.000 0.500 Ho
0.000 0.500 0.000 Ho
0.500 0.000 0.000 Ho
0.500 0.500 0.500 Sc
0.237 0.237 0.237 Se
0.242 0.731 0.731 Se
0.269 0.269 0.758 Se
0.269 0.758 0.269 Se
0.731 0.242 0.731 Se
0.731 0.731 0.242 Se
0.758 0.269 0.269 Se
0.763 0.763 0.763 Se


Entry 19:
Ba2HoScTe5 PBE optimized geometry; M_tot = 0.0 μB per cell; energy relative to the elements, uncorrected = -1.500 eV/atom; crystal system = orthorhombic
1.0
2.325 -9.558 0.000
2.325 9.558 0.000
0.000 0.000 14.814
Ba Ho Sc Te
4 2 2 10
direct
0.107 0.893 0.500 Ba
0.143 0.857 0.123 Ba
0.857 0.143 0.623 Ba
0.893 0.107 0.000 Ba
0.211 0.789 0.832 Ho
0.789 0.211 0.332 Ho
0.472 0.528 0.263 Sc
0.528 0.472 0.763 Sc
0.052 0.948 0.867 Te
0.283 0.717 0.469 Te
0.322 0.678 0.195 Te
0.372 0.628 0.812 Te
0.488 0.512 0.583 Te
0.512 0.488 0.083 Te
0.628 0.372 0.312 Te
0.678 0.322 0.695 Te
0.717 0.283 0.969 Te
0.948 0.052 0.367 Te